Here is a relaxed structure of LaSiTe2N from Alexandria via LeMat-Bulk. Energies are from GGA-PBE.

a = 5.825 Å, b = 5.825 Å, c = 3.402 Å
α = 90.00°, β = 90.00°, γ = 90.00°
Last column: magnetic moment on the atom in μB.
Atoms (fractional coordinates):
1 N 0.000 0.000 0.500  0.00
2 Te 0.000 0.500 0.000  0.01
3 Te 0.500 0.000 0.000  0.01
4 Si 0.000 0.000 0.000  0.00
5 La 0.500 0.500 0.500  0.11

Properties
energy relative to the elements, uncorrected: -0.3747 eV per atom
N(E_F): 1.61 states/eV/f.u.
space-group type: P4/mmm, No. 123
polymorph energy (0 for the lowest one): 0 meV/atom

Here is a relaxed structure of LaTm2SiN4 from Alexandria via LeMat-Bulk. Energies are from GGA-PBE.

a = 3.375 Å, b = 6.016 Å, c = 11.393 Å
α = 90.00°, β = 90.00°, γ = 106.29°
Atoms (fractional coordinates):
1 N 0.263 0.526 0.126
2 N 0.597 0.195 0.250
3 N 0.403 0.805 0.750
4 N 0.737 0.474 0.626
5 N 0.000 0.000 0.000
6 N 0.263 0.526 0.374
7 N 0.737 0.474 0.874
8 N 0.000 0.000 0.500
9 La 0.913 0.827 0.250
10 La 0.087 0.173 0.750
11 Si 0.177 0.354 0.250
12 Si 0.823 0.646 0.750
13 Tm 0.631 0.263 0.458
14 Tm 0.369 0.737 0.542
15 Tm 0.369 0.737 0.958
16 Tm 0.631 0.263 0.042

Properties
energy relative to the elements, uncorrected: -1.4499 eV per atom
N(E_F): 1.45 states/eV/f.u.
space-group type: Cmcm, No. 63

Here is a relaxed structure of La3TmSi2N6 from Alexandria via LeMat-Bulk. Energies are from GGA-PBE.

a = 5.855 Å, b = 5.855 Å, c = 6.551 Å
α = 90.00°, β = 90.00°, γ = 120.00°
Last column: magnetic moment on the atom in μB.
Atoms (fractional coordinates):
1 Si 0.333 0.667 0.196  0.09
2 Si 0.667 0.333 0.804  0.09
3 La 0.333 0.667 0.648  0.07
4 La 0.667 0.333 0.352  0.07
5 La 0.000 0.000 0.000  0.03
6 N 0.650 0.825 0.288  0.07
7 N 0.350 0.175 0.712  0.07
8 N 0.175 0.350 0.288  0.07
9 N 0.825 0.650 0.712  0.07
10 N 0.825 0.175 0.712  0.07
11 N 0.175 0.825 0.288  0.07
12 Tm 0.000 0.000 0.500  0.12

Properties
energy relative to the elements, uncorrected: -1.1777 eV per atom
N(E_F): 1.55 states/eV/f.u.
space-group type: P-3m1, No. 164

Here is a relaxed structure of LaY2SiN4 from Alexandria via LeMat-Bulk. Energies are from GGA-PBE.

a = 3.417 Å, b = 6.067 Å, c = 11.593 Å
α = 90.00°, β = 90.00°, γ = 106.36°
Atoms (fractional coordinates):
1 N 0.000 0.000 0.000
2 N 0.265 0.530 0.371
3 N 0.000 0.000 0.500
4 N 0.735 0.470 0.871
5 N 0.265 0.530 0.129
6 N 0.403 0.805 0.750
7 N 0.735 0.470 0.629
8 N 0.597 0.195 0.250
9 Y 0.632 0.263 0.042
10 Y 0.368 0.737 0.542
11 Y 0.632 0.263 0.458
12 Y 0.368 0.737 0.958
13 Si 0.178 0.356 0.250
14 Si 0.822 0.644 0.750
15 La 0.912 0.825 0.250
16 La 0.088 0.175 0.750

Properties
energy relative to the elements, uncorrected: -1.3667 eV per atom
N(E_F): 1.47 states/eV/f.u.
space-group type: Cmcm, No. 63

Here is a relaxed structure of LaYSiN2 from Alexandria via LeMat-Bulk. Energies are from GGA-PBE.

a = 4.433 Å, b = 6.772 Å, c = 4.433 Å
α = 90.00°, β = 90.00°, γ = 90.00°
Last column: magnetic moment on the atom in μB.
Atoms (fractional coordinates):
1 N 0.500 0.000 0.000  -0.67
2 N 0.000 0.000 0.500  -0.96
3 La 0.000 0.500 0.000  0.19
4 Y 0.000 0.000 0.000  0.06
5 Si 0.500 0.500 0.500  0.03

Properties
energy relative to the elements, uncorrected: 1.0082 eV per atom
N(E_F): 5.25 states/eV/f.u.
space-group type: P4/mmm, No. 123

Here is a relaxed structure of LaY2SiN from Alexandria via LeMat-Bulk. Energies are from GGA-PBE.

a = 4.746 Å, b = 4.746 Å, c = 4.986 Å
α = 90.00°, β = 90.00°, γ = 90.00°
Atoms (fractional coordinates):
1 N 0.000 0.000 0.000
2 Y 0.000 0.500 0.000
3 Y 0.500 0.000 0.000
4 Si 0.500 0.500 0.500
5 La 0.000 0.000 0.500

Properties
energy relative to the elements, uncorrected: -0.8597 eV per atom
N(E_F): 2.36 states/eV/f.u.
space-group type: P4/mmm, No. 123

Here is a relaxed structure of LaZn2SiN4 from Alexandria via LeMat-Bulk. Energies are from GGA-PBE.

a = 5.278 Å, b = 5.190 Å, c = 5.190 Å
α = 88.05°, β = 59.44°, γ = 59.44°
Last column: magnetic moment on the atom in μB.
Atoms (fractional coordinates):
1 Zn 0.500 0.250 0.750  0.02
2 Zn 0.500 0.750 0.250  0.02
3 N 0.612 0.556 0.832  0.11
4 N 0.000 0.444 0.168  0.11
5 N 0.388 0.168 0.444  0.11
6 N 0.000 0.832 0.556  0.11
7 Si 0.000 0.500 0.500  -0.01
8 La 0.000 0.000 0.000  0.01

Properties
energy relative to the elements, uncorrected: -0.5961 eV per atom
N(E_F): 5.04 states/eV/f.u.
space-group type: I-42m, No. 121

Here is a relaxed structure of LaZrSi2N from Alexandria via LeMat-Bulk. Energies are from GGA-PBE.

a = 5.170 Å, b = 4.213 Å, c = 5.170 Å
α = 90.00°, β = 90.00°, γ = 90.00°
Atoms (fractional coordinates):
1 Si 0.500 0.000 0.000
2 Si 0.000 0.000 0.500
3 La 0.500 0.500 0.500
4 N 0.000 0.500 0.000
5 Zr 0.000 0.000 0.000

Properties
energy relative to the elements, uncorrected: 0.0200 eV per atom
N(E_F): 5.45 states/eV/f.u.
space-group type: P4/mmm, No. 123